The following is a PBE-GGA calculation of YTaV2 after structural relaxation, from Alexandria.

Output
Total magnetization ... 0.003 μB/atom
Total DFT energy (no corrections) ... -8.26 eV per atom
E above lowest polymorph ... 0.452 eV/atom

Cell lengths 7.2705, 7.2705, 5.9176 Å; angles 52.10, 52.10, 90.00 degrees
Fractional positions:
Y 0.5000 0.5000 0.0000
Y 0.2500 0.7500 0.5000
Ta 0.0000 0.0000 0.0000
Ta 0.7500 0.2500 0.5000
V 0.6507 0.1250 0.2500
V 0.0993 0.6250 0.2500
V 0.3750 0.3493 0.7500
V 0.8750 0.9007 0.7500